Crystalline Rb3B2As4 at its relaxed geometry. Source: Alexandria via LeMat-Bulk, functional PBE.

* space group: No. 15
* density of states at the Fermi level: 8.2 states/eV per cell
* energy of formation from the pure elements: -0.2 eV per formula unit
* ρ: 3.97 g cm⁻³

Unit cell a=6.6473 b=9.0062 c=9.0062 alpha=66.52 beta=79.96 gamma=79.96
Closest atoms and distances in Å follow each position.
Atoms (fractional coordinates):
1 Rb 0.9460 0.9977 0.2386  2 B 3.28-3.32, 6 As 3.31-3.54
2 Rb 0.5540 0.7614 0.0023  2 B 3.28-3.32, 6 As 3.31-3.54
3 Rb 0.0540 0.0023 0.7614  2 B 3.28-3.32, 6 As 3.31-3.54
4 Rb 0.4460 0.2386 0.9977  2 B 3.28-3.32, 6 As 3.31-3.54
5 Rb 0.2500 0.5734 0.4266  6 As 3.44-3.73, 2 Rb 3.63
6 Rb 0.7500 0.4266 0.5734  6 As 3.44-3.73, 2 Rb 3.63
7 B 0.5207 0.1739 0.3744  4 As 2.13-2.23
8 B 0.9793 0.6256 0.8261  4 As 2.13-2.23
9 B 0.4793 0.8261 0.6256  4 As 2.13-2.23
10 B 0.0207 0.3744 0.1739  4 As 2.13-2.23
11 As 0.4300 0.9457 0.3761  2 B 2.13-2.23
12 As 0.0700 0.6239 0.0543  2 B 2.13-2.23
13 As 0.5700 0.0543 0.6239  2 B 2.13-2.23
14 As 0.9300 0.3761 0.9457  2 B 2.13-2.23
15 As 0.1895 0.2265 0.3748  2 B 2.14-2.17
16 As 0.3105 0.6252 0.7735  2 B 2.14-2.17
17 As 0.8105 0.7735 0.6252  2 B 2.14-2.17
18 As 0.6895 0.3748 0.2265  2 B 2.14-2.17



Crystalline Tm4Sn3H at its relaxed geometry. Source: Alexandria via LeMat-Bulk, functional PBE.

* space group: No. 31
* density of states at the Fermi level: 12.2 states/eV per cell
* ρ: 8.85 g cm⁻³
* energy: -4.6408 eV per atom

Unit cell a=6.1378 b=6.0118 c=10.5084 alpha=90.00 beta=90.00 gamma=90.00
Closest atoms and distances in Å follow each position.
Atoms (fractional coordinates):
1 Tm 0.9125 0.8943 0.0000  1 H 2.17
2 Tm 0.6515 0.4171 0.0000  1 H 2.20
3 Tm 0.1380 0.3471 0.1750  1 H 2.19
4 Tm 0.6380 0.6529 0.3250  1 H 2.19
5 Tm 0.1515 0.5829 0.5000  1 H 2.20
6 Tm 0.4125 0.1057 0.5000  1 H 2.17
7 Tm 0.6380 0.6529 0.6750  1 H 2.19
8 Tm 0.1380 0.3471 0.8250  1 H 2.19
9 Sn 0.4162 0.8842 0.0000  3 Tm 3.05-3.16, 4 Sn 3.22-3.30
10 Sn 0.1445 0.8455 0.2613  5 Tm 2.96-3.31, 2 Sn 3.22-3.30, 1 H 3.26
11 Sn 0.6445 0.1545 0.2387  5 Tm 2.96-3.31, 2 Sn 3.22-3.30, 1 H 3.26
12 Sn 0.9162 0.1158 0.5000  3 Tm 3.05-3.16, 4 Sn 3.22-3.30
13 Sn 0.6445 0.1545 0.7613  5 Tm 2.96-3.31, 2 Sn 3.22-3.30, 1 H 3.26
14 Sn 0.1445 0.8455 0.7387  5 Tm 2.96-3.31, 2 Sn 3.22-3.30, 1 H 3.26
15 H 0.9700 0.2507 0.0000  4 Tm 2.17-2.20
16 H 0.4700 0.7493 0.5000  4 Tm 2.17-2.20



Crystalline Ti6SbTe3 at its relaxed geometry. Source: Alexandria via LeMat-Bulk, functional PBE.

* space group: No. 36
* density of states at the Fermi level: 20.1 states/eV per cell
* raw formation energy: -0.381 eV per atom
* ρ: 6.40 g cm⁻³

Unit cell a=7.0021 b=7.9883 c=7.9883 alpha=113.05 beta=90.00 gamma=90.00
Closest atoms and distances in Å follow each position.
Atoms (fractional coordinates):
1 Ti 0.1211 0.7765 0.6338  4 Te 2.69-2.96, 1 Ti 2.87
2 Ti 0.6211 0.6338 0.7765  4 Te 2.69-2.96, 1 Ti 2.87
3 Ti 0.2927 0.5010 0.9390  3 Te 2.68-2.80, 2 Ti 2.87-2.91, 1 Sb 2.97
4 Ti 0.7927 0.9390 0.5010  3 Te 2.68-2.80, 2 Ti 2.87-2.91, 1 Sb 2.97
5 Ti 0.2600 0.9736 0.0264  1 Sb 2.79, 4 Te 2.82-2.89, 2 Ti 3.06
6 Ti 0.5997 0.2614 0.7386  3 Te 2.82-2.98, 6 Ti 2.87-2.91, 1 Sb 3.10
7 Ti 0.0997 0.7386 0.2614  3 Te 2.82-2.98, 6 Ti 2.87-2.91, 1 Sb 3.10
8 Ti 0.7600 0.0264 0.9736  1 Sb 2.79, 4 Te 2.82-2.89, 2 Ti 3.06
9 Ti 0.2927 0.0610 0.4990  3 Te 2.68-2.80, 2 Ti 2.87-2.91, 1 Sb 2.97
10 Ti 0.7927 0.4990 0.0610  3 Te 2.68-2.80, 2 Ti 2.87-2.91, 1 Sb 2.97
11 Ti 0.1211 0.3662 0.2235  4 Te 2.69-2.96, 1 Ti 2.87
12 Ti 0.6211 0.2235 0.3662  4 Te 2.69-2.96, 1 Ti 2.87
13 Sb 0.0187 0.1855 0.8145  8 Ti 2.79-3.10
14 Sb 0.5187 0.8145 0.1855  8 Ti 2.79-3.10
15 Te 0.4777 0.9121 0.7009  7 Ti 2.68-2.89
16 Te 0.9777 0.7009 0.9121  7 Ti 2.68-2.89
17 Te 0.3239 0.4319 0.5681  7 Ti 2.76-2.98
18 Te 0.8239 0.5681 0.4319  7 Ti 2.76-2.98
19 Te 0.9777 0.0879 0.2991  7 Ti 2.68-2.89
20 Te 0.4777 0.2991 0.0879  7 Ti 2.68-2.89



Crystalline Ba2AlCo at its relaxed geometry. Source: Alexandria via LeMat-Bulk, functional PBE.

* space group: No. 166
* density of states at the Fermi level: 5.7 states/eV per cell
* energy of formation from the pure elements: 2.2 eV per formula unit
* ρ: 4.18 g cm⁻³

Unit cell a=9.6891 b=9.6891 c=9.6891 alpha=25.04 beta=25.04 gamma=25.04
Closest atoms and distances in Å follow each position.
Atoms (fractional coordinates):
1 Co 0.2500 0.2500 0.2500  6 Ba 3.15
2 Ba 0.9881 0.9881 0.9881  3 Co 3.15
3 Ba 0.5119 0.5119 0.5119  3 Co 3.15
4 Al 0.7500 0.7500 0.7500  6 Ba 3.61



Crystalline MgBi at its relaxed geometry. Source: Alexandria via LeMat-Bulk, functional PBE.

* space group: No. 19
* density of states at the Fermi level: 1.8 states/eV per cell
* energy of formation from the pure elements: -0.3 eV per formula unit
* ρ: 6.29 g cm⁻³

Unit cell a=5.1286 b=8.1315 c=11.8071 alpha=90.00 beta=90.00 gamma=90.00
Closest atoms and distances in Å follow each position.
Atoms (fractional coordinates):
1 Mg 0.0738 0.1549 0.0579  4 Bi 2.98-3.11, 2 Mg 3.29
2 Mg 0.5738 0.3451 0.9421  4 Bi 2.98-3.11, 2 Mg 3.29
3 Mg 0.9262 0.6549 0.4421  4 Bi 2.98-3.11, 2 Mg 3.29
4 Mg 0.4262 0.8451 0.5579  4 Bi 2.98-3.11, 2 Mg 3.29
5 Mg 0.3635 0.7129 0.8274  5 Bi 2.96-3.16
6 Mg 0.8635 0.7871 0.1726  5 Bi 2.96-3.16
7 Mg 0.6365 0.2129 0.6726  5 Bi 2.96-3.16
8 Mg 0.1365 0.2871 0.3274  5 Bi 2.96-3.16
9 Bi 0.5891 0.9813 0.9876  5 Mg 2.98-3.11, 1 Bi 3.28
10 Bi 0.0891 0.5187 0.0124  5 Mg 2.98-3.11, 1 Bi 3.28
11 Bi 0.4109 0.4813 0.5124  5 Mg 2.98-3.11, 1 Bi 3.28
12 Bi 0.9109 0.0187 0.4876  5 Mg 2.98-3.11, 1 Bi 3.28
13 Bi 0.1605 0.0348 0.7427  4 Mg 2.96-3.16, 1 Bi 3.28
14 Bi 0.6605 0.4652 0.2573  4 Mg 2.96-3.16, 1 Bi 3.28
15 Bi 0.8395 0.5348 0.7573  4 Mg 2.96-3.16, 1 Bi 3.28
16 Bi 0.3395 0.9652 0.2427  4 Mg 2.96-3.16, 1 Bi 3.28



Crystalline Rb3Cd6AgAu2 at its relaxed geometry. Source: Alexandria via LeMat-Bulk, functional PBE.

* space group: No. 164
* density of states at the Fermi level: 4.0 states/eV per cell
* energy of formation from the pure elements: -0.6 eV per formula unit
* ρ: 5.44 g cm⁻³

Unit cell a=7.3745 b=7.3745 c=9.2774 alpha=90.00 beta=90.00 gamma=120.00
Closest atoms and distances in Å follow each position.
Atoms (fractional coordinates):
1 Rb 0.3333 0.6667 0.7756  1 Au 3.38
2 Rb 0.6667 0.3333 0.2244  1 Au 3.38
3 Rb 0.0000 0.0000 0.0000  6 Cd 4.34, 6 Au 4.45, 2 Ag 4.64, 6 Rb 4.74
4 Cd 0.6063 0.8031 0.3811  1 Ag 2.75, 1 Au 2.84, 2 Cd 3.02
5 Cd 0.1969 0.3937 0.3811  1 Ag 2.75, 1 Au 2.84, 2 Cd 3.02
6 Cd 0.1969 0.8031 0.3811  1 Ag 2.75, 1 Au 2.84, 2 Cd 3.02
7 Cd 0.8031 0.6063 0.6189  1 Ag 2.75, 1 Au 2.84, 2 Cd 3.02
8 Cd 0.3937 0.1969 0.6189  1 Ag 2.75, 1 Au 2.84, 2 Cd 3.02
9 Cd 0.8031 0.1969 0.6189  1 Ag 2.75, 1 Au 2.84, 2 Cd 3.02
10 Ag 0.0000 0.0000 0.5000  6 Cd 2.75
11 Au 0.6667 0.3333 0.8602  3 Cd 2.84
12 Au 0.3333 0.6667 0.1398  3 Cd 2.84